Record 1
Below is crystalline ZnCoMoPb at its relaxed geometry, with properties calculated at the PBE level.

Lattice parameters (Å, degrees): 6.395 6.395 6.395 90.00 90.00 90.00
Space group F-43m (No. 216)
Asymmetric unit:
Zn 0.000 0.000 0.000 [4 per cell]
Co 0.250 0.250 0.750 [4 per cell]
Mo 0.250 0.250 0.250 [4 per cell]
Pb 0.000 0.000 0.500 [4 per cell]

Properties
crystal system	cubic
total DFT energy (no corrections)	-81.61	eV per cell

---

Record 2
Below is crystalline CoMo2Pd at its relaxed geometry, with properties calculated at the PBE level.

Lattice parameters (Å, degrees): 6.139 6.139 6.139 90.00 90.00 90.00
Space group F-43m (No. 216)
Asymmetric unit:
Co 0.000 0.000 0.000 [4 per cell]
Mo 0.000 0.000 0.500 [4 per cell]
Mo 0.250 0.250 0.250 [4 per cell]
Pd 0.250 0.250 0.750 [4 per cell]

Properties
crystal system	cubic
DFT formation energy	259	meV/atom

---

Record 3
Below is crystalline Co2MoPd at its relaxed geometry, with properties calculated at the PBE level.

Lattice parameters (Å, degrees): 5.952 5.952 5.952 90.00 90.00 90.00
Space group F-43m (No. 216)
Asymmetric unit:
Co 0.000 0.000 0.000 [4 per cell]
Co 0.250 0.250 0.250 [4 per cell]
Mo 0.250 0.250 0.750 [4 per cell]
Pd 0.000 0.000 0.500 [4 per cell]

Properties
crystal system	cubic
DFT formation energy	326	meV/atom

---

Record 4
Below is crystalline CoMoPd2 at its relaxed geometry, with properties calculated at the PBE level.

Lattice parameters (Å, degrees): 6.118 6.118 6.118 90.00 90.00 90.00
Space group F-43m (No. 216)
Asymmetric unit:
Co 0.000 0.000 0.000 [4 per cell]
Mo 0.250 0.250 0.250 [4 per cell]
Pd 0.000 0.000 0.500 [4 per cell]
Pd 0.250 0.250 0.750 [4 per cell]

Properties
crystal system	cubic
DFT formation energy	193	meV/atom

---

Respective calculated density values: 10.9, 10.3, 10.1, 10.7 g/cm3.
Respective size of the total moment values: 2.32, 0.36, 2.94, 1.26 μB/f.u..